1.
# CsZrOF5 (PBE, relaxed)
data_CsZrOF5
_space_group_name_H-M_alt 'P 1'
_space_group_IT_number 1
_cell_length_a 5.426
_cell_length_b 7.033
_cell_length_c 8.491
_cell_angle_alpha 71.18
_cell_angle_beta 78.82
_cell_angle_gamma 85.50
loop_
_space_group_symop_operation_xyz
'x,y,z'
loop_
_atom_site_label
_atom_site_fract_x
_atom_site_fract_y
_atom_site_fract_z
Cs1 0.634 0.363 0.274
F1 0.090 0.642 0.169
O1 0.036 0.257 0.608
F2 0.847 0.033 0.113
F3 0.601 0.244 0.656
F4 0.399 0.756 0.344
F5 0.910 0.358 0.831
F6 0.165 0.119 0.284
F7 0.835 0.881 0.716
Zr1 0.215 0.923 0.152
Zr2 0.785 0.077 0.848
F8 0.444 0.179 0.986
O2 0.964 0.743 0.392
F9 0.556 0.821 0.014
F10 0.153 0.967 0.887
Cs2 0.366 0.637 0.726
# Energy relative to the elements, uncorrected in eV per atom: -2.744
# SG: P-1

2.
# BaLiAl2Co (PBE, relaxed)
data_BaLiAl2Co
_space_group_name_H-M_alt 'P 1'
_space_group_IT_number 1
_cell_length_a 4.639
_cell_length_b 4.639
_cell_length_c 5.106
_cell_angle_alpha 90.00
_cell_angle_beta 90.00
_cell_angle_gamma 90.00
loop_
_space_group_symop_operation_xyz
'x,y,z'
loop_
_atom_site_label
_atom_site_fract_x
_atom_site_fract_y
_atom_site_fract_z
Li1 0.000 0.000 0.500
Ba1 0.500 0.500 0.500
Al1 0.500 0.000 0.000
Al2 0.000 0.500 0.000
Co1 0.000 0.000 0.000
# Energy of formation in eV per atom: -0.1555
# SG: P4/mmm

3.
# SrMg9Cu3 (PBE, relaxed)
data_SrMg9Cu3
_space_group_name_H-M_alt 'P 1'
_space_group_IT_number 1
_cell_length_a 5.485
_cell_length_b 7.395
_cell_length_c 7.653
_cell_angle_alpha 82.91
_cell_angle_beta 69.00
_cell_angle_gamma 69.86
loop_
_space_group_symop_operation_xyz
'x,y,z'
loop_
_atom_site_label
_atom_site_fract_x
_atom_site_fract_y
_atom_site_fract_z
Mg1 0.522 0.215 0.774
Sr1 0.000 0.000 0.000
Mg2 0.295 0.215 0.226
Cu1 0.500 0.500 0.000
Cu2 0.000 0.000 0.500
Mg3 0.339 0.666 0.639
Mg4 0.661 0.334 0.361
Mg5 0.000 0.500 0.000
Cu3 0.500 0.000 0.500
Mg6 0.978 0.666 0.361
Mg7 0.022 0.334 0.639
Mg8 0.478 0.785 0.226
Mg9 0.705 0.785 0.774
# Energy of formation in eV per atom: -0.0613
# SG: C2/m

4.
# Er2BeWN5 (PBE, relaxed)
data_Er2BeWN5
_space_group_name_H-M_alt 'P 1'
_space_group_IT_number 1
_cell_length_a 3.112
_cell_length_b 6.820
_cell_length_c 9.557
_cell_angle_alpha 90.00
_cell_angle_beta 90.00
_cell_angle_gamma 103.19
loop_
_space_group_symop_operation_xyz
'x,y,z'
loop_
_atom_site_label
_atom_site_fract_x
_atom_site_fract_y
_atom_site_fract_z
Er1 0.112 0.224 0.701
N1 0.048 0.095 0.017
Be1 0.506 0.012 0.974
N2 0.952 0.905 0.517
N3 0.641 0.283 0.509
Er2 0.888 0.776 0.201
Er3 0.124 0.248 0.312
N4 0.499 0.998 0.785
W1 0.791 0.582 0.509
Er4 0.876 0.752 0.812
N5 0.359 0.717 0.009
N6 0.297 0.594 0.650
W2 0.209 0.418 0.009
N7 0.703 0.406 0.150
N8 0.699 0.398 0.868
Be2 0.494 0.988 0.474
N9 0.301 0.602 0.368
N10 0.501 0.002 0.285
# Energy relative to the elements, uncorrected in eV per atom: -0.922
# SG: Cmc2_1

5.
# CaSmHo (PBE, relaxed)
data_CaSmHo
_space_group_name_H-M_alt 'P 1'
_space_group_IT_number 1
_cell_length_a 3.666
_cell_length_b 6.344
_cell_length_c 12.341
_cell_angle_alpha 110.00
_cell_angle_beta 126.39
_cell_angle_gamma 89.94
loop_
_space_group_symop_operation_xyz
'x,y,z'
loop_
_atom_site_label
_atom_site_fract_x
_atom_site_fract_y
_atom_site_fract_z
Ca1 0.745 0.750 0.498
Sm1 0.943 0.815 0.846
Ca2 0.255 0.250 0.502
Ho1 0.448 0.316 0.849
Ho2 0.552 0.684 0.151
Sm2 0.057 0.185 0.154
# Energy of formation in eV per atom: 0.0564
# Energy above the most stable polymorph in this dataset in meV per atom: 0.1
# SG: P-1

6.
# BaLiOs2 (PBE, relaxed)
data_BaLiOs2
_space_group_name_H-M_alt 'P 1'
_space_group_IT_number 1
_cell_length_a 2.827
_cell_length_b 2.827
_cell_length_c 9.314
_cell_angle_alpha 90.00
_cell_angle_beta 90.00
_cell_angle_gamma 90.00
loop_
_space_group_symop_operation_xyz
'x,y,z'
loop_
_atom_site_label
_atom_site_fract_x
_atom_site_fract_y
_atom_site_fract_z
Li1 0.500 0.500 0.750
Ba1 0.500 0.500 0.250
Os1 0.000 0.000 0.953
Os2 0.000 0.000 0.547
# Energy of formation in eV per atom: 1.2394
# Energy above the most stable polymorph in this dataset in meV per atom: 1003.2
# SG: P4/mmm

7.
# YIr3Pb (PBE, relaxed)
data_YIr3Pb
_space_group_name_H-M_alt 'P 1'
_space_group_IT_number 1
_cell_length_a 4.956
_cell_length_b 4.956
_cell_length_c 4.956
_cell_angle_alpha 90.00
_cell_angle_beta 90.00
_cell_angle_gamma 90.00
loop_
_space_group_symop_operation_xyz
'x,y,z'
loop_
_atom_site_label
_atom_site_fract_x
_atom_site_fract_y
_atom_site_fract_z
Y1 0.500 0.500 0.500
Ir1 0.000 0.000 0.500
Ir2 0.500 0.000 0.000
Pb1 0.000 0.000 0.000
Ir3 0.000 0.500 0.000
# Energy of formation in eV per atom: 1.1964
# Energy above the most stable polymorph in this dataset in meV per atom: 0.0
# SG: Pm-3m

8.
# Rb3LaBr6 (PBE, relaxed)
data_Rb3LaBr6
_space_group_name_H-M_alt 'P 1'
_space_group_IT_number 1
_cell_length_a 8.747
_cell_length_b 8.747
_cell_length_c 8.747
_cell_angle_alpha 60.00
_cell_angle_beta 60.00
_cell_angle_gamma 60.00
loop_
_space_group_symop_operation_xyz
'x,y,z'
loop_
_atom_site_label
_atom_site_fract_x
_atom_site_fract_y
_atom_site_fract_z
Rb1 0.500 0.500 0.500
Br1 0.764 0.236 0.764
La1 0.000 0.000 0.000
Br2 0.764 0.236 0.236
Br3 0.764 0.764 0.236
Rb2 0.750 0.750 0.750
Br4 0.236 0.236 0.764
Br5 0.236 0.764 0.236
Rb3 0.250 0.250 0.250
Br6 0.236 0.764 0.764
# Energy relative to the elements, uncorrected in eV per atom: -1.803
# Energy above the most stable polymorph in this dataset in meV per atom: 75.8
# SG: Fm-3m

no.,energy (eV/atom)
1,-5.708
2,-3.841
3,-2.240
4,-8.415
5,-3.710
6,-5.335
7,-6.155
8,-3.590